SmEuCdRh | GGA-PBE | optimized geometry

Calculated values
The value obtained for the formation energy is -1.5 eV per formula unit.

Cell lengths 7.335, 7.335, 7.335 Å; angles 90.00, 90.00, 90.00 degrees
Space group F-43m (No. 216)
Symmetry-distinct sites (fractional):
Sm: 0.000 0.000 0.000 [4 per cell]
Eu: 0.000 0.000 0.500 [4 per cell]
Cd: 0.250 0.250 0.250 [4 per cell]
Rh: 0.250 0.250 0.750 [4 per cell]

BaTl2Hg | GGA-PBE | optimized geometry

Calculated values
The value obtained for the formation energy is -0.9 eV per formula unit. The relative energy among the computed polymorphs comes out at 0.118 eV per atom.

Cell lengths 4.088, 4.088, 7.862 Å; angles 90.00, 90.00, 90.00 degrees
Space group P4/mmm (No. 123)
Symmetry-distinct sites (fractional):
Ba: 0.000 0.000 0.000 [1 per cell]
Tl: 0.500 0.500 0.297 [2 per cell]
Hg: 0.000 0.000 0.500 [1 per cell]

Ba2AgAsRh | GGA-PBE | optimized geometry

Calculated values
The value obtained for the formation energy is -2.2 eV per formula unit. The relative energy among the computed polymorphs comes out at 0.000 eV per atom.

Cell lengths 6.123, 6.123, 4.647 Å; angles 90.00, 90.00, 90.00 degrees
Space group P4/mmm (No. 123)
Symmetry-distinct sites (fractional):
Ba: 0.000 0.500 0.000 [2 per cell]
Ag: 0.000 0.000 0.500 [1 per cell]
As: 0.500 0.500 0.500 [1 per cell]
Rh: 0.500 0.500 0.000 [1 per cell]

TeAsSe2N | GGA-PBE | optimized geometry

Calculated values
The relative energy among the computed polymorphs comes out at 0.000 eV per atom. As for the raw formation energy: 3.9 eV/f.u.

Cell lengths 5.239, 5.239, 3.709 Å; angles 90.00, 90.00, 90.00 degrees
Space group P4/mmm (No. 123)
Symmetry-distinct sites (fractional):
Te: 0.000 0.000 0.000 [1 per cell]
As: 0.500 0.500 0.500 [1 per cell]
Se: 0.000 0.500 0.500 [2 per cell]
N: 0.500 0.500 0.000 [1 per cell]

KNiCl | GGA-PBE | optimized geometry

Calculated values
The relative energy among the computed polymorphs comes out at 0.015 eV per atom. As for the raw formation energy: -1.8 eV/f.u.

Cell lengths 5.055, 5.070, 10.700 Å; angles 90.00, 99.22, 90.00 degrees
Space group Cm (No. 8)
Symmetry-distinct sites (fractional):
K: 0.000 0.000 0.000 [2 per cell]
K: 0.124 0.000 0.367 [2 per cell]
Ni: 0.378 0.272 0.639 [4 per cell]
Cl: 0.063 0.500 0.187 [2 per cell]
Cl: 0.441 0.000 0.826 [2 per cell]

TlIr2Pt | GGA-PBE | optimized geometry

Calculated values
The value obtained for the formation energy is 1.7 eV per formula unit. The relative energy among the computed polymorphs comes out at 0.110 eV per atom.

Cell lengths 2.836, 4.831, 9.967 Å; angles 90.00, 90.00, 90.00 degrees
Space group Imm2 (No. 44)
Symmetry-distinct sites (fractional):
Tl: 0.000 0.000 0.000 [2 per cell]
Ir: 0.000 0.000 0.481 [2 per cell]
Ir: 0.000 0.500 0.759 [2 per cell]
Pt: 0.000 0.500 0.230 [2 per cell]

KNa2AgAu | GGA-PBE | optimized geometry

Calculated values
The value obtained for the formation energy is -0.2 eV per formula unit. The relative energy among the computed polymorphs comes out at 0.000 eV per atom.

Cell lengths 5.603, 5.603, 5.398 Å; angles 90.00, 90.00, 90.00 degrees
Space group P4/mmm (No. 123)
Symmetry-distinct sites (fractional):
K: 0.000 0.000 0.000 [1 per cell]
Na: 0.000 0.500 0.500 [2 per cell]
Ag: 0.500 0.500 0.000 [1 per cell]
Au: 0.500 0.500 0.500 [1 per cell]

KY2Zn | GGA-PBE | optimized geometry

Calculated values
The value obtained for the formation energy is 0.3 eV per formula unit.

Cell lengths 3.670, 3.670, 10.019 Å; angles 90.00, 90.00, 90.00 degrees
Space group P4mm (No. 99)
Symmetry-distinct sites (fractional):
K: 0.000 0.000 0.000 [1 per cell]
Y: 0.000 0.000 0.590 [1 per cell]
Y: 0.500 0.500 0.355 [1 per cell]
Zn: 0.500 0.500 0.739 [1 per cell]

Record-wise total magnetization values, in μB per cell: 27.7; 0.0; 0.0; 0.0; 3.4; 0.0; 0.0; 0.0